A plane-wave DFT calculation with PBE-GGA was carried out for an optimized crystal structure of CsPbCl4.

Cell lengths 6.969, 7.820, 9.565 Å; angles 114.13, 104.99, 90.00 degrees
Sites, in units of the cell vectors:
Cl 0.189 0.707 0.415
Pb 0.286 0.575 0.150
Cl 0.553 0.860 0.237
Cl 0.447 0.623 0.763
Cs 0.783 0.804 0.608
Cl 0.447 0.140 0.763
Cl 0.553 0.377 0.237
Cl 0.000 0.752 0.000
Cl 0.000 0.248 0.000
Cs 0.217 0.196 0.392
Pb 0.714 0.425 0.850
Cl 0.811 0.293 0.585

Its volume is 38.0 Å³/atom. As for the space group: No. 12. The value obtained for the uncorrected formation energy is -7.06 eV per formula unit.